1.
Entry from the Alexandria database: TmPu2In3 after structural relaxation (PBE-GGA).

The structure belongs to space group P4/mmm (No. 123); the cell edges are 3.7214, 3.7214 and 11.5628 Å and the angles 90.00°, 90.00° and 90.00°. Symmetry generates all atoms from Tm at (0.0000, 0.0000, 0.0000), Pu at (0.0000, 0.0000, 0.3292), In at (0.5000, 0.5000, 0.1571) and In at (0.5000, 0.5000, 0.5000).

Its total magnetic moment is 11.68 μB/f.u. The density of states at the Fermi level comes out at 2.877 states/eV/atom. The calculation puts the density at 10.38 g/cm3. The value obtained for the total energy is -7.095 eV per atom.

2.
Entry from the Alexandria database: Tm4PuIn after structural relaxation (PBE-GGA).

The structure belongs to space group I4_1md (No. 109); the cell edges are 10.8747, 10.8747 and 6.7987 Å and the angles 90.00°, 90.00° and 90.00°. Symmetry generates all atoms from Tm at (0.0000, 0.2304, 0.0000), Tm at (0.0000, 0.2358, 0.4841), Pu at (0.0000, 0.0000, 0.2398) and In at (0.0000, 0.0000, 0.7398).

Its total magnetic moment is 7.16 μB/f.u. The density of states at the Fermi level comes out at 1.491 states/eV/atom. The calculation puts the density at 8.55 g/cm3. The value obtained for the total energy is -5.323 eV per atom.

3.
Entry from the Alexandria database: TmPuZnIn after structural relaxation (PBE-GGA).

The structure belongs to space group F-43m (No. 216); the cell edges are 7.3455, 7.3455 and 7.3455 Å and the angles 90.00°, 90.00° and 90.00°. Symmetry generates all atoms from Tm at (0.0000, 0.0000, 0.0000), Pu at (0.0000, 0.0000, 0.5000), Zn at (0.2500, 0.2500, 0.7500) and In at (0.2500, 0.2500, 0.2500).

Its total magnetic moment is 6.10 μB/f.u. The density of states at the Fermi level comes out at 1.914 states/eV/atom. The calculation puts the density at 9.94 g/cm3. The value obtained for the total energy is -5.903 eV per atom.